Record 1
DFT (PBE) results for an optimized crystal structure of AlGeOs2.

The structure in CIF format:
```
data_AlGeOs2
_symmetry_space_group_name_H-M 'I -4 2 d'
_symmetry_Int_Tables_number 122
_symmetry_space_group_name_Hall 'I -4 2bw'
_cell_length_a 7.233
_cell_length_b 7.233
_cell_length_c 5.103
_cell_angle_alpha 90.00
_cell_angle_beta 90.00
_cell_angle_gamma 90.00
loop_
_atom_site_label
_atom_site_fract_x
_atom_site_fract_y
_atom_site_fract_z
Al1 0.000 0.000 0.000
Ge1 0.000 0.000 0.500
Os1 0.194 0.250 0.625
```

Record 2
DFT (PBE) results for an optimized crystal structure of AlGeOs3.

Properties
* relative energy among the computed polymorphs: 0.0000 eV per atom

The structure in CIF format:
```
data_AlGeOs3
_symmetry_space_group_name_H-M 'P m -3 m'
_symmetry_Int_Tables_number 221
_symmetry_space_group_name_Hall '-P 4 2 3'
_cell_length_a 4.497
_cell_length_b 4.497
_cell_length_c 4.497
_cell_angle_alpha 90.00
_cell_angle_beta 90.00
_cell_angle_gamma 90.00
loop_
_atom_site_label
_atom_site_fract_x
_atom_site_fract_y
_atom_site_fract_z
Al1 0.000 0.000 0.000
Ge1 0.500 0.500 0.500
Os1 0.000 0.500 0.500
```

Record 3
DFT (PBE) results for an optimized crystal structure of Al2GeOsPb.

The structure in CIF format:
```
data_Al2GeOsPb
_symmetry_space_group_name_H-M 'P 4/m m m'
_symmetry_Int_Tables_number 123
_symmetry_space_group_name_Hall '-P 4 2'
_cell_length_a 4.769
_cell_length_b 4.769
_cell_length_c 5.315
_cell_angle_alpha 90.00
_cell_angle_beta 90.00
_cell_angle_gamma 90.00
loop_
_atom_site_label
_atom_site_fract_x
_atom_site_fract_y
_atom_site_fract_z
Al1 0.000 0.500 0.000
Ge1 0.000 0.000 0.500
Os1 0.500 0.500 0.000
Pb1 0.500 0.500 0.500
```

The energy of formation results, record by record, are as follows: 0.68, 1.52, 0.47 eV/atom.
The V results, record by record, are as follows: 16.69, 18.19, 24.17 A^3/atom.